The following is a PBE with a Hubbard U calculation of crystalline NaV2O at its relaxed geometry, from the Alexandria database.

The structure in POSCAR format:
```
NaV2O
1.0
0.000 3.253 3.253
3.253 0.000 3.253
3.253 3.253 0.000
O V Na
1 2 1
Direct
0.000 0.000 0.000
0.250 0.250 0.250
0.750 0.750 0.750
0.500 0.500 0.500
```

polymorph energy (0 for the lowest one) = 1.273 eV/atom
magnetization = 8.28 μB/f.u.
crystal system = cubic